(1)
Material: K2BeNi
Method: DFT, PBE
State: relaxed

a = 4.5527 Å, b = 4.5527 Å, c = 4.9210 Å
α = 90.00°, β = 90.00°, γ = 90.00°
Element x y z (fractional)
K 0.0000 0.5000 0.0000
K 0.5000 0.0000 0.0000
Be 0.0000 0.0000 0.5000
Ni 0.5000 0.5000 0.5000

VASP energy: -7.369 eV per cell

---

(2)
Material: P2PbCl
Method: DFT, PBE
State: relaxed

a = 7.1074 Å, b = 7.1074 Å, c = 7.1074 Å
α = 123.71°, β = 123.71°, γ = 83.68°
Element x y z (fractional)
P 0.1224 0.6250 0.9974
P 0.3750 0.3724 0.4974
P 0.6276 0.1250 0.0026
P 0.8750 0.8776 0.5026
Pb 0.0000 0.0000 0.0000
Pb 0.7500 0.2500 0.5000
Cl 0.2500 0.7500 0.5000
Cl 0.5000 0.5000 0.0000

raw formation energy: 67.3 kJ per mole of atoms
energy above the most stable polymorph in this dataset: 929 meV per atom

---

Repeat the second record exactly.
Material: P2PbCl
Method: DFT, PBE
State: relaxed

a = 7.1074 Å, b = 7.1074 Å, c = 7.1074 Å
α = 123.71°, β = 123.71°, γ = 83.68°
Element x y z (fractional)
P 0.1224 0.6250 0.9974
P 0.3750 0.3724 0.4974
P 0.6276 0.1250 0.0026
P 0.8750 0.8776 0.5026
Pb 0.0000 0.0000 0.0000
Pb 0.7500 0.2500 0.5000
Cl 0.2500 0.7500 0.5000
Cl 0.5000 0.5000 0.0000

raw formation energy: 67.3 kJ per mole of atoms
energy above the most stable polymorph in this dataset: 929 meV per atom